# 1
Compound: BaZnIr2
Source: the Alexandria database
Functional: PBE
Structure: optimized geometry

Output
magnetic moment	0.00	μB per cell
E	-0.3654	Ry per atom
DOS(E_F)	0.959	states/eV per atom

Cell lengths 3.5199, 3.5199, 7.3636 Å; angles 90.00, 90.00, 90.00 degrees
Fractional coordinates of all 4 atoms:
Ba (0.5000, 0.5000, 0.7645)
Ir (0.0000, 0.0000, 0.1005)
Ir (0.5000, 0.5000, 0.1961)
Zn (0.0000, 0.0000, 0.4388)

---

# 2
Compound: LaScGaHg2
Source: the Alexandria database
Functional: PBE
Structure: optimized geometry

Output
magnetic moment	0.90	μB per cell
E	-0.2016	Ry per atom
DOS(E_F)	0.765	states/eV per atom

Cell lengths 5.0837, 5.6446, 5.0837 Å; angles 90.00, 90.00, 90.00 degrees
Fractional coordinates of all 5 atoms:
Sc (0.5000, 0.5000, 0.5000)
Hg (0.0000, 0.0000, 0.5000)
Hg (0.5000, 0.0000, 0.0000)
Ga (0.0000, 0.0000, 0.0000)
La (0.0000, 0.5000, 0.0000)

---

# 3
Compound: ZnPt5Rh4
Source: the Alexandria database
Functional: PBE
Structure: optimized geometry

Output
magnetic moment	0.00	μB per cell
E	-0.4566	Ry per atom
DOS(E_F)	1.556	states/eV per atom

Cell lengths 2.7728, 2.7728, 19.3232 Å; angles 90.00, 90.00, 90.00 degrees
Fractional coordinates of all 10 atoms:
Zn (0.0000, 0.0000, 0.0000)
Pt (0.5000, 0.5000, 0.0967)
Pt (0.5000, 0.5000, 0.2989)
Pt (0.5000, 0.5000, 0.5000)
Pt (0.5000, 0.5000, 0.7011)
Pt (0.5000, 0.5000, 0.9033)
Rh (0.0000, 0.0000, 0.1996)
Rh (0.0000, 0.0000, 0.3987)
Rh (0.0000, 0.0000, 0.6013)
Rh (0.0000, 0.0000, 0.8004)

---

Repeat the second record exactly.
Compound: LaScGaHg2
Source: the Alexandria database
Functional: PBE
Structure: optimized geometry

Output
magnetic moment	0.90	μB per cell
E	-0.2016	Ry per atom
DOS(E_F)	0.765	states/eV per atom

Cell lengths 5.0837, 5.6446, 5.0837 Å; angles 90.00, 90.00, 90.00 degrees
Fractional coordinates of all 5 atoms:
Sc (0.5000, 0.5000, 0.5000)
Hg (0.0000, 0.0000, 0.5000)
Hg (0.5000, 0.0000, 0.0000)
Ga (0.0000, 0.0000, 0.0000)
La (0.0000, 0.5000, 0.0000)